Below is Nd3Co8Sn4 after structural relaxation, with properties calculated at the GGA-PBE level.

Calculated values
* DFT formation energy: -284 meV/atom
* volume: 535.2 Å³ per cell
* calculated total energy: -6.094 eV/atom

Cell lengths 9.033, 9.033, 7.574 Å; angles 90.00, 90.00, 120.00 degrees
Last column: magnetic moment on the atom in μB.
Atoms (fractional coordinates):
Co: 0.688 0.844 0.447  1.14
Nd: 0.057 0.529 0.777  -0.06
Co: 0.905 0.810 0.254  1.31
Nd: 0.471 0.529 0.777  -0.06
Co: 0.000 0.000 0.000  1.37
Co: 0.156 0.844 0.447  1.14
Co: 0.667 0.333 0.573  -0.48
Co: 0.844 0.688 0.947  1.14
Sn: 0.340 0.170 0.573  -0.01
Nd: 0.943 0.471 0.277  -0.06
Co: 0.810 0.905 0.754  1.31
Nd: 0.529 0.471 0.277  -0.06
Co: 0.312 0.156 0.947  1.14
Co: 0.000 0.000 0.500  1.37
Nd: 0.529 0.057 0.277  -0.06
Sn: 0.170 0.830 0.073  -0.01
Co: 0.156 0.312 0.447  1.14
Co: 0.905 0.095 0.254  1.31
Sn: 0.830 0.660 0.573  -0.01
Sn: 0.667 0.333 0.941  -0.02
Sn: 0.170 0.340 0.073  -0.01
Co: 0.190 0.095 0.254  1.31
Nd: 0.471 0.943 0.777  -0.06
Sn: 0.333 0.667 0.441  -0.02
Co: 0.095 0.190 0.754  1.31
Co: 0.095 0.905 0.754  1.31
Co: 0.844 0.156 0.947  1.14
Sn: 0.660 0.830 0.073  -0.01
Sn: 0.830 0.170 0.573  -0.01
Co: 0.333 0.667 0.073  -0.48

=====

Below is Nd3CoSn3 after structural relaxation, with properties calculated at the GGA-PBE level.

Calculated values
* DFT formation energy: -619 meV/atom
* volume: 373.1 Å³ per cell
* calculated total energy: -5.393 eV/atom

Cell lengths 4.534, 6.169, 14.531 Å; angles 84.58, 81.02, 68.44 degrees
Atoms (fractional coordinates):
Sn: 0.038 0.165 0.758
Nd: 0.479 0.657 0.384
Nd: 0.597 0.725 0.081
Sn: 0.962 0.835 0.242
Nd: 0.521 0.343 0.616
Sn: 0.158 0.222 0.462
Co: 0.246 0.899 0.610
Nd: 0.745 0.750 0.760
Sn: 0.874 0.175 0.077
Co: 0.754 0.101 0.390
Sn: 0.126 0.825 0.923
Nd: 0.255 0.250 0.240
Sn: 0.842 0.778 0.538
Nd: 0.403 0.275 0.919

=====

Below is NdCoSn3 after structural relaxation, with properties calculated at the GGA-PBE level.

Calculated values
* DFT formation energy: -387 meV/atom
* volume: 459.9 Å³ per cell
* calculated total energy: -5.163 eV/atom

Cell lengths 4.386, 9.200, 11.397 Å; angles 90.00, 90.00, 90.00 degrees
Atoms (fractional coordinates):
Sn: 0.750 0.163 0.763
Sn: 0.250 0.059 0.422
Sn: 0.750 0.118 0.177
Co: 0.750 0.920 0.346
Sn: 0.250 0.882 0.823
Sn: 0.750 0.618 0.323
Co: 0.250 0.580 0.846
Sn: 0.750 0.441 0.922
Nd: 0.250 0.194 0.970
Sn: 0.250 0.337 0.263
Nd: 0.750 0.806 0.030
Nd: 0.250 0.694 0.530
Co: 0.750 0.420 0.154
Sn: 0.250 0.559 0.078
Sn: 0.750 0.663 0.737
Sn: 0.250 0.382 0.677
Sn: 0.750 0.941 0.578
Co: 0.250 0.080 0.654
Sn: 0.250 0.837 0.237
Nd: 0.750 0.306 0.470